1.
# VWSeBr2 (PBE, optimized geometry)
# Crystal system: tetragonal
# ΔE to the lowest computed polymorph: 0.00 kcal/mol of atoms
# ΔE_f (raw): 0.88 eV/atom
# Total moment: 7.00 μB/cell
# Calculated density: 6.24 g/cm3
data_VWSeBr2
_chemical_formula_sum 'V1 W1 Se1 Br2'
_symmetry_space_group_name_H-M 'P 4/m m m'
_symmetry_Int_Tables_number 123
_symmetry_space_group_name_Hall '-P 4 2'
_cell_length_a 4.9612
_cell_length_b 4.9612
_cell_length_c 5.1160
_cell_angle_alpha 90.00
_cell_angle_beta 90.00
_cell_angle_gamma 90.00
loop_
_atom_site_label
_atom_site_type_symbol
_atom_site_fract_x
_atom_site_fract_y
_atom_site_fract_z
V1 V 0.0000 0.0000 0.0000
W1 W 0.5000 0.5000 0.5000
Se1 Se 0.0000 0.0000 0.5000
Br1 Br 0.0000 0.5000 0.0000

2.
# VZnSe2Br (PBE, optimized geometry)
# Crystal system: tetragonal
# ΔE to the lowest computed polymorph: 10.64 kcal/mol of atoms
# ΔE_f (raw): 0.41 eV/atom
# Total moment: 2.68 μB/cell
# Calculated density: 4.79 g/cm3
data_VZnSe2Br
_chemical_formula_sum 'V1 Zn1 Se2 Br1'
_symmetry_space_group_name_H-M 'P 4/m m m'
_symmetry_Int_Tables_number 123
_symmetry_space_group_name_Hall '-P 4 2'
_cell_length_a 4.8886
_cell_length_b 4.8886
_cell_length_c 5.1353
_cell_angle_alpha 90.00
_cell_angle_beta 90.00
_cell_angle_gamma 90.00
loop_
_atom_site_label
_atom_site_type_symbol
_atom_site_fract_x
_atom_site_fract_y
_atom_site_fract_z
V1 V 0.0000 0.0000 0.0000
Zn1 Zn 0.5000 0.5000 0.5000
Se1 Se 0.0000 0.5000 0.5000
Br1 Br 0.5000 0.5000 0.0000

3.
# VZnSe2Br (PBE, optimized geometry)
# Crystal system: tetragonal
# ΔE to the lowest computed polymorph: 0.00 kcal/mol of atoms
# ΔE_f (raw): -0.05 eV/atom
# Total moment: 0.00 μB/cell
# Calculated density: 4.90 g/cm3
data_VZnSe2Br
_chemical_formula_sum 'V1 Zn1 Se2 Br1'
_symmetry_space_group_name_H-M 'P 4/m m m'
_symmetry_Int_Tables_number 123
_symmetry_space_group_name_Hall '-P 4 2'
_cell_length_a 4.7745
_cell_length_b 4.7745
_cell_length_c 5.2690
_cell_angle_alpha 90.00
_cell_angle_beta 90.00
_cell_angle_gamma 90.00
loop_
_atom_site_label
_atom_site_type_symbol
_atom_site_fract_x
_atom_site_fract_y
_atom_site_fract_z
V1 V 0.0000 0.0000 0.0000
Zn1 Zn 0.5000 0.5000 0.5000
Se1 Se 0.0000 0.5000 0.0000
Br1 Br 0.0000 0.0000 0.5000

4.
# ZrVSe2Br (PBE, optimized geometry)
# Crystal system: tetragonal
# ΔE to the lowest computed polymorph: 0.00 kcal/mol of atoms
# ΔE_f (raw): -0.12 eV/atom
# Total moment: 3.81 μB/cell
# Calculated density: 4.39 g/cm3
data_ZrVSe2Br
_chemical_formula_sum 'Zr1 V1 Se2 Br1'
_symmetry_space_group_name_H-M 'P 4/m m m'
_symmetry_Int_Tables_number 123
_symmetry_space_group_name_Hall '-P 4 2'
_cell_length_a 5.2394
_cell_length_b 5.2394
_cell_length_c 5.2311
_cell_angle_alpha 90.00
_cell_angle_beta 90.00
_cell_angle_gamma 90.00
loop_
_atom_site_label
_atom_site_type_symbol
_atom_site_fract_x
_atom_site_fract_y
_atom_site_fract_z
Zr1 Zr 0.0000 0.0000 0.0000
V1 V 0.5000 0.5000 0.5000
Se1 Se 0.0000 0.5000 0.0000
Br1 Br 0.0000 0.0000 0.5000

5.
# ZrVSe2Br (PBE, optimized geometry)
# Crystal system: tetragonal
# ΔE to the lowest computed polymorph: 1.03 kcal/mol of atoms
# ΔE_f (raw): -0.07 eV/atom
# Total moment: 3.98 μB/cell
# Calculated density: 5.34 g/cm3
data_ZrVSe2Br
_chemical_formula_sum 'Zr1 V1 Se2 Br1'
_symmetry_space_group_name_H-M 'P 4/m m m'
_symmetry_Int_Tables_number 123
_symmetry_space_group_name_Hall '-P 4 2'
_cell_length_a 4.9339
_cell_length_b 4.9339
_cell_length_c 4.8545
_cell_angle_alpha 90.00
_cell_angle_beta 90.00
_cell_angle_gamma 90.00
loop_
_atom_site_label
_atom_site_type_symbol
_atom_site_fract_x
_atom_site_fract_y
_atom_site_fract_z
Zr1 Zr 0.0000 0.0000 0.0000
V1 V 0.5000 0.5000 0.5000
Se1 Se 0.0000 0.5000 0.5000
Br1 Br 0.5000 0.5000 0.0000

6.
# WSeBr2 (PBE, optimized geometry)
# Crystal system: orthorhombic
# ΔE to the lowest computed polymorph: 1.03 kcal/mol of atoms
# ΔE_f (raw): -0.16 eV/atom
# Total moment: 0.30 μB/cell
# Calculated density: 5.88 g/cm3
data_WSeBr2
_chemical_formula_sum 'W2 Se2 Br4'
_symmetry_space_group_name_H-M 'C m m m'
_symmetry_Int_Tables_number 65
_symmetry_space_group_name_Hall '-C 2 2'
_cell_length_a 4.8323
_cell_length_b 14.5907
_cell_length_c 3.3829
_cell_angle_alpha 90.00
_cell_angle_beta 90.00
_cell_angle_gamma 90.00
loop_
_atom_site_label
_atom_site_type_symbol
_atom_site_fract_x
_atom_site_fract_y
_atom_site_fract_z
W1 W 0.0000 0.0000 0.0000
Se1 Se 0.0000 0.5000 0.0000
Br1 Br 0.0000 0.1369 0.5000

7.
# WSe2Br (PBE, optimized geometry)
# Crystal system: orthorhombic
# ΔE to the lowest computed polymorph: 15.09 kcal/mol of atoms
# ΔE_f (raw): 0.32 eV/atom
# Total moment: 0.00 μB/cell
# Calculated density: 7.64 g/cm3
data_WSe2Br
_chemical_formula_sum 'W2 Se4 Br2'
_symmetry_space_group_name_H-M 'C m m m'
_symmetry_Int_Tables_number 65
_symmetry_space_group_name_Hall '-C 2 2'
_cell_length_a 3.2235
_cell_length_b 5.0924
_cell_length_c 11.1720
_cell_angle_alpha 90.00
_cell_angle_beta 90.00
_cell_angle_gamma 90.00
loop_
_atom_site_label
_atom_site_type_symbol
_atom_site_fract_x
_atom_site_fract_y
_atom_site_fract_z
W1 W 0.0000 0.0000 0.0000
Se1 Se 0.0000 0.5000 0.1807
Br1 Br 0.0000 0.0000 0.5000

8.
# WSeBr (PBE, optimized geometry)
# Crystal system: tetragonal
# ΔE to the lowest computed polymorph: 11.96 kcal/mol of atoms
# ΔE_f (raw): 0.13 eV/atom
# Total moment: 0.00 μB/cell
# Calculated density: 8.42 g/cm3
data_WSeBr
_chemical_formula_sum 'W2 Se2 Br2'
_symmetry_space_group_name_H-M 'I 4 m m'
_symmetry_Int_Tables_number 107
_symmetry_space_group_name_Hall 'I 4 -2'
_cell_length_a 3.1257
_cell_length_b 3.1257
_cell_length_c 13.8432
_cell_angle_alpha 90.00
_cell_angle_beta 90.00
_cell_angle_gamma 90.00
loop_
_atom_site_label
_atom_site_type_symbol
_atom_site_fract_x
_atom_site_fract_y
_atom_site_fract_z
W1 W 0.0000 0.0000 0.0000
Se1 Se 0.0000 0.0000 0.6076
Br1 Br 0.0000 0.0000 0.3771

9.
# WSeBr2 (PBE, optimized geometry)
# Crystal system: cubic
# ΔE to the lowest computed polymorph: 32.16 kcal/mol of atoms
# ΔE_f (raw): 1.19 eV/atom
# Total moment: 0.00 μB/cell
# Calculated density: 9.11 g/cm3
data_WSeBr2
_chemical_formula_sum 'W4 Se4 Br8'
_symmetry_space_group_name_H-M 'F m -3 m'
_symmetry_Int_Tables_number 225
_symmetry_space_group_name_Hall '-F 4 2 3'
_cell_length_a 6.7544
_cell_length_b 6.7544
_cell_length_c 6.7544
_cell_angle_alpha 90.00
_cell_angle_beta 90.00
_cell_angle_gamma 90.00
loop_
_atom_site_label
_atom_site_type_symbol
_atom_site_fract_x
_atom_site_fract_y
_atom_site_fract_z
W1 W 0.0000 0.0000 0.0000
Se1 Se 0.0000 0.0000 0.5000
Br1 Br 0.2500 0.2500 0.2500

10.
# WSe2Br (PBE, optimized geometry)
# Crystal system: triclinic
# ΔE to the lowest computed polymorph: 0.09 kcal/mol of atoms
# ΔE_f (raw): -0.33 eV/atom
# Total moment: 0.00 μB/cell
# Calculated density: 4.99 g/cm3
data_WSe2Br
_chemical_formula_sum 'W2 Se4 Br2'
_symmetry_space_group_name_H-M 'P -1'
_symmetry_Int_Tables_number 2
_cell_length_a 6.0047
_cell_length_b 6.4789
_cell_length_c 7.8970
_cell_angle_alpha 66.41
_cell_angle_beta 84.87
_cell_angle_gamma 88.45
loop_
_symmetry_equiv_pos_as_xyz
'x,y,z'
'-x,-y,-z'
loop_
_atom_site_label
_atom_site_type_symbol
_atom_site_fract_x
_atom_site_fract_y
_atom_site_fract_z
W1 W 0.2153 0.4402 0.0688
Se1 Se 0.0926 0.8190 0.8894
Se2 Se 0.4509 0.3078 0.8847
Br1 Br 0.2388 0.2671 0.4092

11.
# WSeBr2 (PBE, optimized geometry)
# Crystal system: orthorhombic
# ΔE to the lowest computed polymorph: 17.85 kcal/mol of atoms
# ΔE_f (raw): 0.57 eV/atom
# Total moment: 1.92 μB/cell
# Calculated density: 7.15 g/cm3
data_WSeBr2
_chemical_formula_sum 'W2 Se2 Br4'
_symmetry_space_group_name_H-M 'C m m m'
_symmetry_Int_Tables_number 65
_symmetry_space_group_name_Hall '-C 2 2'
_cell_length_a 3.0456
_cell_length_b 5.8230
_cell_length_c 11.0625
_cell_angle_alpha 90.00
_cell_angle_beta 90.00
_cell_angle_gamma 90.00
loop_
_atom_site_label
_atom_site_type_symbol
_atom_site_fract_x
_atom_site_fract_y
_atom_site_fract_z
W1 W 0.0000 0.0000 0.0000
Se1 Se 0.0000 0.0000 0.5000
Br1 Br 0.0000 0.5000 0.1871

12.
# WSeBr2 (PBE, optimized geometry)
# Crystal system: cubic
# ΔE to the lowest computed polymorph: 25.77 kcal/mol of atoms
# ΔE_f (raw): 0.92 eV/atom
# Total moment: 7.84 μB/cell
# Calculated density: 8.68 g/cm3
data_WSeBr2
_chemical_formula_sum 'W4 Se4 Br8'
_symmetry_space_group_name_H-M 'F -4 3 m'
_symmetry_Int_Tables_number 216
_symmetry_space_group_name_Hall 'F -4 2 3'
_cell_length_a 6.8652
_cell_length_b 6.8652
_cell_length_c 6.8652
_cell_angle_alpha 90.00
_cell_angle_beta 90.00
_cell_angle_gamma 90.00
loop_
_atom_site_label
_atom_site_type_symbol
_atom_site_fract_x
_atom_site_fract_y
_atom_site_fract_z
W1 W 0.0000 0.0000 0.0000
Se1 Se 0.2500 0.2500 0.7500
Br1 Br 0.0000 0.0000 0.5000
Br2 Br 0.2500 0.2500 0.2500

13.
# WSe2Br (PBE, optimized geometry)
# Crystal system: orthorhombic
# ΔE to the lowest computed polymorph: 11.92 kcal/mol of atoms
# ΔE_f (raw): 0.18 eV/atom
# Total moment: 0.00 μB/cell
# Calculated density: 6.84 g/cm3
data_WSe2Br
_chemical_formula_sum 'W2 Se4 Br2'
_symmetry_space_group_name_H-M 'I m m 2'
_symmetry_Int_Tables_number 44
_cell_length_a 3.2117
_cell_length_b 4.6013
_cell_length_c 13.8577
_cell_angle_alpha 90.00
_cell_angle_beta 90.00
_cell_angle_gamma 90.00
loop_
_symmetry_equiv_pos_as_xyz
'x,y,z'
'-x,-y,z'
'-x,y,z'
'x,-y,z'
'x+1/2,y+1/2,z+1/2'
'-x+1/2,-y+1/2,z+1/2'
'-x+1/2,y+1/2,z+1/2'
'x+1/2,-y+1/2,z+1/2'
loop_
_atom_site_label
_atom_site_type_symbol
_atom_site_fract_x
_atom_site_fract_y
_atom_site_fract_z
W1 W 0.0000 0.0000 0.0000
Se1 Se 0.0000 0.0000 0.5258
Se2 Se 0.0000 0.5000 0.6408
Br1 Br 0.0000 0.5000 0.3470

14.
# WSe2Br (PBE, optimized geometry)
# Crystal system: triclinic
# ΔE to the lowest computed polymorph: 0.50 kcal/mol of atoms
# ΔE_f (raw): -0.32 eV/atom
# Total moment: 0.00 μB/cell
# Calculated density: 4.85 g/cm3
data_WSe2Br
_chemical_formula_sum 'W2 Se4 Br2'
_symmetry_space_group_name_H-M 'P 1'
_symmetry_Int_Tables_number 1
_cell_length_a 6.4275
_cell_length_b 6.6545
_cell_length_c 7.0540
_cell_angle_alpha 76.75
_cell_angle_beta 87.29
_cell_angle_gamma 79.25
loop_
_symmetry_equiv_pos_as_xyz
'x,y,z'
loop_
_atom_site_label
_atom_site_type_symbol
_atom_site_fract_x
_atom_site_fract_y
_atom_site_fract_z
W1 W 0.0000 0.0000 0.0000
W2 W 0.4203 0.8433 0.1352
Se1 Se 0.0064 0.2515 0.7243
Se2 Se 0.1974 0.1417 0.2194
Se3 Se 0.2224 0.6730 0.9564
Se4 Se 0.6919 0.8496 0.8864
Br1 Br 0.4892 0.5665 0.4255
Br2 Br 0.7203 0.0300 0.2745